Computed, not measured: a geometry-optimized RbMnI2F structure at the PBE with a Hubbard U level of DFT.

The space group is P4/mmm (No. 123) and the conventional cell measures 6.094, 6.094 and 4.199 Å, with angles of 90.00, 90.00 and 90.00 degrees. The asymmetric unit holds Rb at (0.000, 0.000, 0.000), Mn at (0.500, 0.500, 0.500), I at (0.000, 0.500, 0.500) and F at (0.500, 0.500, 0.000).

The calculation puts the total energy at -20.99 eV/f.u.